Entry i
# SnMoHOs PBE relaxed
# M_tot, μB per formula unit: 0.00
data_SnMoHOs
_cell_length_a 4.0993
_cell_length_b 4.3787
_cell_length_c 4.5124
_cell_angle_alpha 118.96
_cell_angle_beta 115.56
_cell_angle_gamma 90.09
_space_group_name_H-M_alt 'P 1'
_space_group_IT_number 1
loop_
_space_group_symop_operation_xyz
'x,y,z'
loop_
_atom_site_label
_atom_site_fract_x
_atom_site_fract_y
_atom_site_fract_z
Sn1 0.0000 0.0000 0.0000
Mo1 0.4497 0.4391 0.8790
H1 0.7841 0.6948 0.3983
Os1 0.2288 0.7188 0.4382



Entry ii
# SnMoHOs PBE relaxed
# M_tot, μB per formula unit: 0.00
data_SnMoHOs
_cell_length_a 3.0484
_cell_length_b 3.0484
_cell_length_c 19.7790
_cell_angle_alpha 90.00
_cell_angle_beta 90.00
_cell_angle_gamma 120.00
_space_group_name_H-M_alt 'R 3 m'
_space_group_IT_number 160
_space_group_name_Hall 'R 3 -2"'
loop_
_atom_site_label
_atom_site_fract_x
_atom_site_fract_y
_atom_site_fract_z
Sn1 0.0000 0.0000 0.0000
Mo1 0.0000 0.0000 0.2175
H1 0.0000 0.0000 0.8364
Os1 0.0000 0.0000 0.4408



Entry iii
# SnMoHOs PBE relaxed
# M_tot, μB per formula unit: 0.00
data_SnMoHOs
_cell_length_a 3.1987
_cell_length_b 4.7729
_cell_length_c 7.3111
_cell_angle_alpha 90.00
_cell_angle_beta 90.00
_cell_angle_gamma 90.00
_space_group_name_H-M_alt 'I m m 2'
_space_group_IT_number 44
loop_
_space_group_symop_operation_xyz
'x,y,z'
'-x,-y,z'
'-x,y,z'
'x,-y,z'
'x+1/2,y+1/2,z+1/2'
'-x+1/2,-y+1/2,z+1/2'
'-x+1/2,y+1/2,z+1/2'
'x+1/2,-y+1/2,z+1/2'
loop_
_atom_site_label
_atom_site_fract_x
_atom_site_fract_y
_atom_site_fract_z
Sn1 0.0000 0.0000 0.0000
Mo1 0.0000 0.0000 0.3953
H1 0.0000 0.5000 0.7820
Os1 0.0000 0.5000 0.1930



From most stable to least stable, the computed energies give entry iii, entry i, entry ii.



Entry i
# SnMoHOs PBE relaxed
# M_tot, μB per formula unit: 0.00
data_SnMoHOs
_cell_length_a 4.5426
_cell_length_b 2.9653
_cell_length_c 4.6344
_cell_angle_alpha 90.00
_cell_angle_beta 90.93
_cell_angle_gamma 90.00
_space_group_name_H-M_alt 'P 1 m 1'
_space_group_IT_number 6
loop_
_space_group_symop_operation_xyz
'x,y,z'
'x,-y,z'
loop_
_atom_site_label
_atom_site_fract_x
_atom_site_fract_y
_atom_site_fract_z
Sn1 0.0000 0.0000 0.0000
Mo1 0.8392 0.5000 0.5062
H1 0.4616 0.5000 0.2840
Os1 0.3576 0.0000 0.4941



Entry ii
# SnMoHOs PBE relaxed
# M_tot, μB per formula unit: 0.00
data_SnMoHOs
_cell_length_a 2.9642
_cell_length_b 4.4867
_cell_length_c 8.1787
_cell_angle_alpha 90.00
_cell_angle_beta 90.00
_cell_angle_gamma 90.00
_space_group_name_H-M_alt 'A m m 2'
_space_group_IT_number 38
loop_
_space_group_symop_operation_xyz
'x,y,z'
'-x,-y,z'
'-x,y,z'
'x,-y,z'
'x,y+1/2,z+1/2'
'-x,-y+1/2,z+1/2'
'-x,y+1/2,z+1/2'
'x,-y+1/2,z+1/2'
loop_
_atom_site_label
_atom_site_fract_x
_atom_site_fract_y
_atom_site_fract_z
Sn1 0.0000 0.0000 0.0000
Mo1 0.5000 0.0000 0.6844
H1 0.5000 0.0000 0.4402
Os1 0.0000 0.0000 0.3209



Entry iii
# SnMoHOs PBE relaxed
# M_tot, μB per formula unit: 0.00
data_SnMoHOs
_cell_length_a 2.9983
_cell_length_b 2.9927
_cell_length_c 6.3757
_cell_angle_alpha 90.00
_cell_angle_beta 94.44
_cell_angle_gamma 90.00
_space_group_name_H-M_alt 'P 1 m 1'
_space_group_IT_number 6
loop_
_space_group_symop_operation_xyz
'x,y,z'
'x,-y,z'
loop_
_atom_site_label
_atom_site_fract_x
_atom_site_fract_y
_atom_site_fract_z
Sn1 0.0000 0.0000 0.0000
Mo1 0.4183 0.5000 0.6776
H1 0.7502 0.5000 0.2815
Os1 0.8729 0.0000 0.4241



From most stable to least stable, the computed energies give entry iii, entry ii, entry i.



Entry i
# TcMo2HOs PBE relaxed
# M_tot, μB per formula unit: 0.00
data_TcMo2HOs
_cell_length_a 4.0007
_cell_length_b 4.0007
_cell_length_c 3.9203
_cell_angle_alpha 90.00
_cell_angle_beta 90.00
_cell_angle_gamma 90.00
_space_group_name_H-M_alt 'P 4/m m m'
_space_group_IT_number 123
_space_group_name_Hall '-P 4 2'
loop_
_atom_site_label
_atom_site_fract_x
_atom_site_fract_y
_atom_site_fract_z
Tc1 0.0000 0.0000 0.0000
Mo1 0.0000 0.5000 0.5000
H1 0.5000 0.5000 0.5000
Os1 0.5000 0.5000 0.0000



Entry ii
# TcMo2HOs PBE relaxed
# M_tot, μB per formula unit: 0.00
data_TcMo2HOs
_cell_length_a 3.9909
_cell_length_b 3.9909
_cell_length_c 3.9284
_cell_angle_alpha 90.00
_cell_angle_beta 90.00
_cell_angle_gamma 90.00
_space_group_name_H-M_alt 'P 4/m m m'
_space_group_IT_number 123
_space_group_name_Hall '-P 4 2'
loop_
_atom_site_label
_atom_site_fract_x
_atom_site_fract_y
_atom_site_fract_z
Tc1 0.0000 0.0000 0.0000
Mo1 0.0000 0.5000 0.5000
H1 0.0000 0.0000 0.5000
Os1 0.5000 0.5000 0.0000



From most stable to least stable, the computed energies give entry ii, entry i.



Entry i
# V2MoHOs PBE relaxed
# M_tot, μB per formula unit: 0.00
data_V2MoHOs
_cell_length_a 4.1633
_cell_length_b 4.1633
_cell_length_c 3.4478
_cell_angle_alpha 90.00
_cell_angle_beta 90.00
_cell_angle_gamma 90.00
_space_group_name_H-M_alt 'P 4/m m m'
_space_group_IT_number 123
_space_group_name_Hall '-P 4 2'
loop_
_atom_site_label
_atom_site_fract_x
_atom_site_fract_y
_atom_site_fract_z
V1 0.0000 0.5000 0.0000
Mo1 0.0000 0.0000 0.5000
H1 0.0000 0.0000 0.0000
Os1 0.5000 0.5000 0.5000



Entry ii
# V2MoHOs PBE relaxed
# M_tot, μB per formula unit: 0.00
data_V2MoHOs
_cell_length_a 4.1659
_cell_length_b 4.1659
_cell_length_c 3.4607
_cell_angle_alpha 90.00
_cell_angle_beta 90.00
_cell_angle_gamma 90.00
_space_group_name_H-M_alt 'P 4/m m m'
_space_group_IT_number 123
_space_group_name_Hall '-P 4 2'
loop_
_atom_site_label
_atom_site_fract_x
_atom_site_fract_y
_atom_site_fract_z
V1 0.0000 0.5000 0.0000
Mo1 0.0000 0.0000 0.5000
H1 0.5000 0.5000 0.0000
Os1 0.5000 0.5000 0.5000



From most stable to least stable, the computed energies give entry ii, entry i.